Rb3Ti2Cl8 | GGA-PBE | optimized geometry

Properties
Space-group type: R-3m (166)
Total DFT energy (no corrections) (eV per atom): -4.22

Unit cell a=7.7187 b=7.7187 c=9.4307 alpha=65.84 beta=65.84 gamma=60.03
With the nearest neighbours (Å) after each atom.
Fractional coordinates of all 13 atoms:
1 Cl 0.7306 0.2061 0.3328  1 Ti 2.34
2 Cl 0.7939 0.2694 0.6672  1 Ti 2.34
3 Cl 0.3453 0.3453 0.9636  1 Ti 2.43
4 Cl 0.2694 0.7939 0.6672  1 Ti 2.34
5 Cl 0.2693 0.2693 0.6671  1 Ti 2.34
6 Cl 0.7307 0.7307 0.3329  1 Ti 2.34
7 Cl 0.6547 0.6547 0.0364  1 Ti 2.43
8 Cl 0.2061 0.7306 0.3328  1 Ti 2.34
9 Rb 0.2180 0.2180 0.3457  4 Cl 3.18-3.41
10 Rb 0.7820 0.7820 0.6543  4 Cl 3.18-3.41
11 Rb 0.0000 0.0000 0.0000  6 Cl 3.48
12 Ti 0.5571 0.5571 0.3290  4 Cl 2.34-2.43
13 Ti 0.4429 0.4429 0.6710  4 Cl 2.34-2.43


NaCdBi | GGA-PBE | optimized geometry

Properties
ΔE_f (eV per atom): -0.09
Space-group type: I4mm (107)
Total DFT energy (no corrections) (eV per atom): -2.13

Unit cell a=4.0953 b=4.0953 c=5.7773 alpha=110.76 beta=110.76 gamma=90.00
With the nearest neighbours (Å) after each atom.
Fractional coordinates of all 3 atoms:
1 Bi 0.6093 0.6093 0.2185  5 Na 3.25-3.38, 5 Cd 3.27-3.48
2 Na 0.2837 0.2837 0.5675  5 Bi 3.25-3.38, 5 Cd 3.27-3.37
3 Cd 0.9570 0.9570 0.9140  5 Na 3.27-3.37, 5 Bi 3.27-3.48


CdInTe2 | GGA-PBE | optimized geometry

Properties
Space-group type: Cmm2 (35)
Total DFT energy (no corrections) (eV per atom): -2.43

Unit cell a=3.3688 b=3.3688 c=10.4088 alpha=90.00 beta=90.00 gamma=99.42
With the nearest neighbours (Å) after each atom.
Fractional coordinates of all 4 atoms:
1 In 0.5000 0.5000 0.7288  4 Cd 3.13-3.41, 2 Te 3.24, 4 In 3.37
2 Te 0.0000 0.0000 0.9592  4 In 3.24-3.52, 4 Te 3.37
3 Te 0.5000 0.5000 0.2985  4 Cd 3.12-3.41, 4 Te 3.37
4 Cd 0.0000 0.0000 0.5135  4 Te 3.12-3.41, 4 In 3.13-3.41, 4 Cd 3.37


Zn3Ni4Ge | GGA-PBE | optimized geometry

Properties
ΔE_f (eV per atom): -0.25
Space-group type: C2/m (12)
Total DFT energy (no corrections) (eV per atom): -4.19

Unit cell a=3.9275 b=3.9280 c=6.9178 alpha=106.56 beta=106.49 gamma=90.00
With the nearest neighbours (Å) after each atom.
Fractional coordinates of all 8 atoms:
1 Ni 0.6209 0.6212 0.2419  2 Ge 2.49, 6 Zn 2.49-2.58, 4 Ni 2.78
2 Ni 0.3791 0.3788 0.7581  2 Ge 2.49, 6 Zn 2.49-2.58, 4 Ni 2.78
3 Ni 0.1209 0.1208 0.2419  6 Zn 2.49-2.57, 2 Ge 2.49, 4 Ni 2.78
4 Ni 0.8791 0.8792 0.7581  6 Zn 2.49-2.57, 2 Ge 2.49, 4 Ni 2.78
5 Zn 0.2477 0.7475 0.4954  8 Ni 2.54-2.58, 4 Zn 2.78
6 Zn 0.0000 0.5000 0.0000  8 Ni 2.49, 4 Ge 2.78
7 Zn 0.7523 0.2525 0.5046  8 Ni 2.54-2.58, 4 Zn 2.78
8 Ge 0.5000 0.0000 0.0000  8 Ni 2.49, 4 Zn 2.78


CaH3Pt | GGA-PBE | optimized geometry

Properties
Space-group type: P2_1/c (14)
Total DFT energy (no corrections) (eV per atom): -4.14

Unit cell a=15.9730 b=5.8872 c=6.3301 alpha=90.00 beta=158.12 gamma=90.00
With the nearest neighbours (Å) after each atom.
Fractional coordinates of all 20 atoms:
1 H 0.6341 0.7501 0.6454  2 Pt 1.85-1.87
2 H 0.2447 0.4845 0.7351  1 Pt 1.69
3 H 0.8659 0.2501 0.8546  2 Pt 1.85-1.87
4 H 0.1341 0.7499 0.1454  2 Pt 1.85-1.87
5 H 0.3659 0.2499 0.3546  2 Pt 1.85-1.87
6 H 0.5241 0.6626 0.0404  1 Pt 1.66
7 H 0.0241 0.8374 0.5404  1 Pt 1.66
8 H 0.4759 0.3374 0.9596  1 Pt 1.66
9 H 0.7447 0.0155 0.2351  1 Pt 1.69
10 H 0.9759 0.1626 0.4596  1 Pt 1.66
11 H 0.2553 0.9845 0.7649  1 Pt 1.69
12 H 0.7553 0.5155 0.2649  1 Pt 1.69
13 Ca 0.1092 0.2436 0.0975  2 H 2.25-2.26
14 Ca 0.3908 0.7436 0.4025  2 H 2.25-2.26
15 Ca 0.8908 0.7564 0.9025  2 H 2.25-2.26
16 Ca 0.6092 0.2564 0.5975  2 H 2.25-2.26
17 Pt 0.3889 0.8162 0.9025  3 H 1.66-1.85
18 Pt 0.6111 0.1838 0.0975  3 H 1.66-1.85
19 Pt 0.1111 0.3162 0.5975  3 H 1.66-1.85
20 Pt 0.8889 0.6838 0.4025  3 H 1.66-1.85


ZrReRu | GGA-PBE | optimized geometry

Properties
Polymorph energy (0 for the lowest one) (kcal/mol of atoms): 5.71
ΔE_f (eV per atom): 0.07
Space-group type: P3m1 (156)
Total DFT energy (no corrections) (eV per atom): -10.02

Unit cell a=4.4829 b=4.4829 c=2.8909 alpha=90.00 beta=90.00 gamma=120.00
With the nearest neighbours (Å) after each atom.
Fractional coordinates of all 3 atoms:
1 Ru 0.3333 0.6667 0.2781  3 Re 2.67, 3 Zr 2.83, 2 Ru 2.89
2 Re 0.0000 0.0000 0.0500  3 Ru 2.67, 3 Zr 2.81, 2 Re 2.89
3 Zr 0.6667 0.3333 0.6720  3 Re 2.81, 6 Ru 2.83-3.13, 2 Zr 2.89


NbAl3Ga6 | GGA-PBE | optimized geometry

Properties
ΔE_f (eV per atom): -0.08
Space-group type: R-3c (167)
Total DFT energy (no corrections) (eV per atom): -4.02

Unit cell a=7.3796 b=7.3796 c=7.3796 alpha=103.19 beta=103.19 gamma=103.19
With the nearest neighbours (Å) after each atom.
Fractional coordinates of all 20 atoms:
1 Ga 0.8597 0.3096 0.9683  2 Al 2.67-2.70, 1 Nb 2.75, 4 Ga 2.81-2.95
2 Ga 0.6401 0.5310 0.1902  2 Al 2.67-2.70, 1 Nb 2.75, 4 Ga 2.81-2.95
3 Ga 0.5310 0.1902 0.6401  2 Al 2.67-2.70, 1 Nb 2.75, 4 Ga 2.81-2.95
4 Ga 0.9683 0.8597 0.3096  2 Al 2.67-2.70, 1 Nb 2.75, 4 Ga 2.81-2.95
5 Ga 0.3599 0.4690 0.8098  2 Al 2.67-2.70, 1 Nb 2.75, 4 Ga 2.81-2.95
6 Ga 0.4690 0.8098 0.3599  2 Al 2.67-2.70, 1 Nb 2.75, 4 Ga 2.81-2.95
7 Ga 0.6904 0.0317 0.1403  2 Al 2.67-2.70, 1 Nb 2.75, 4 Ga 2.81-2.95
8 Ga 0.1403 0.6904 0.0317  2 Al 2.67-2.70, 1 Nb 2.75, 4 Ga 2.81-2.95
9 Ga 0.3096 0.9683 0.8597  2 Al 2.67-2.70, 1 Nb 2.75, 4 Ga 2.81-2.95
10 Ga 0.1902 0.6401 0.5310  2 Al 2.67-2.70, 1 Nb 2.75, 4 Ga 2.81-2.95
11 Ga 0.0317 0.1403 0.6904  2 Al 2.67-2.70, 1 Nb 2.75, 4 Ga 2.81-2.95
12 Ga 0.8098 0.3599 0.4690  2 Al 2.67-2.70, 1 Nb 2.75, 4 Ga 2.81-2.95
13 Al 0.1104 0.2499 0.3896  4 Ga 2.67-2.70, 2 Al 2.80, 2 Nb 2.86
14 Al 0.3896 0.1104 0.2499  4 Ga 2.67-2.70, 2 Al 2.80, 2 Nb 2.86
15 Al 0.8896 0.7501 0.6104  4 Ga 2.67-2.70, 2 Al 2.80, 2 Nb 2.86
16 Al 0.7501 0.6104 0.8896  4 Ga 2.67-2.70, 2 Al 2.80, 2 Nb 2.86
17 Al 0.6104 0.8896 0.7501  4 Ga 2.67-2.70, 2 Al 2.80, 2 Nb 2.86
18 Al 0.2499 0.3896 0.1104  4 Ga 2.67-2.70, 2 Al 2.80, 2 Nb 2.86
19 Nb 0.0000 0.0000 0.0000  6 Ga 2.75, 6 Al 2.86
20 Nb 0.5000 0.5000 0.5000  6 Ga 2.75, 6 Al 2.86


SrGe6Pt12 | GGA-PBE | optimized geometry

Properties
ΔE_f (eV per atom): -0.41
Space-group type: R-3m (166)
Total DFT energy (no corrections) (eV per atom): -5.77

Unit cell a=7.3265 b=7.3265 c=7.3265 alpha=106.06 beta=106.06 gamma=106.06
With the nearest neighbours (Å) after each atom.
Fractional coordinates of all 19 atoms:
1 Pt 0.1665 0.4112 0.4112  3 Ge 2.59-2.62, 2 Pt 2.87
2 Pt 0.1241 0.5000 0.8759  4 Ge 2.51-2.53
3 Pt 0.5888 0.5888 0.8335  3 Ge 2.59-2.62, 2 Pt 2.87
4 Pt 0.5888 0.8335 0.5888  3 Ge 2.59-2.62, 2 Pt 2.87
5 Pt 0.5000 0.8759 0.1241  4 Ge 2.51-2.53
6 Pt 0.8759 0.1241 0.5000  4 Ge 2.51-2.53
7 Pt 0.1241 0.8759 0.5000  4 Ge 2.51-2.53
8 Pt 0.4112 0.1665 0.4112  3 Ge 2.59-2.62, 2 Pt 2.87
9 Pt 0.4112 0.4112 0.1665  3 Ge 2.59-2.62, 2 Pt 2.87
10 Pt 0.8335 0.5888 0.5888  3 Ge 2.59-2.62, 2 Pt 2.87
11 Pt 0.5000 0.1241 0.8759  4 Ge 2.51-2.53
12 Pt 0.8759 0.5000 0.1241  4 Ge 2.51-2.53
13 Ge 0.2602 0.6924 0.2602  7 Pt 2.51-2.62
14 Ge 0.7398 0.7398 0.3076  7 Pt 2.51-2.62
15 Ge 0.6924 0.2602 0.2602  7 Pt 2.51-2.62
16 Ge 0.7398 0.3076 0.7398  7 Pt 2.51-2.62
17 Ge 0.2602 0.2602 0.6924  7 Pt 2.51-2.62
18 Ge 0.3076 0.7398 0.7398  7 Pt 2.51-2.62
19 Sr 0.0000 0.0000 0.0000  6 Pt 3.25


Ba4In5Au6 | GGA-PBE | optimized geometry

Properties
ΔE_f (eV per atom): -0.55
Space-group type: Cmc2_1 (36)
Total DFT energy (no corrections) (eV per atom): -3.28

Unit cell a=4.6961 b=11.3010 c=17.4549 alpha=90.00 beta=90.00 gamma=101.99
With the nearest neighbours (Å) after each atom.
Fractional coordinates of all 30 atoms:
1 Au 0.2279 0.4559 0.7548  4 In 2.81-2.86
2 Au 0.5723 0.1445 0.8977  1 In 2.94, 1 Au 2.99
3 Au 0.7721 0.5441 0.2548  4 In 2.81-2.86
4 Au 0.5763 0.1526 0.6319  5 In 2.85-3.06
5 Au 0.5589 0.1178 0.3558  1 In 2.89, 1 Au 2.99
6 Au 0.4237 0.8474 0.1319  5 In 2.85-3.06
7 Au 0.1212 0.2425 0.1242  4 In 2.82-2.92
8 Au 0.4277 0.8555 0.3977  1 In 2.94, 1 Au 2.99
9 Au 0.7847 0.5694 0.9933  4 In 2.77-2.89
10 Au 0.4411 0.8822 0.8558  1 In 2.89, 1 Au 2.99
11 Au 0.8788 0.7575 0.6242  4 In 2.82-2.92
12 Au 0.2153 0.4306 0.4933  4 In 2.77-2.89
13 In 0.3004 0.6009 0.6192  4 Au 2.86-2.92
14 In 0.6996 0.3991 0.1192  4 Au 2.86-2.92
15 In 0.6429 0.2858 0.4827  4 Au 2.85-2.99
16 In 0.1490 0.2979 0.6279  4 Au 2.77-2.85
17 In 0.6595 0.3191 0.7702  4 Au 2.81-3.04
18 In 0.5594 0.1188 0.1665  3 Au 2.82-3.06
19 In 0.8510 0.7021 0.1279  4 Au 2.77-2.85
20 In 0.3405 0.6809 0.2702  4 Au 2.81-3.04
21 In 0.4406 0.8812 0.6665  3 Au 2.82-3.06
22 In 0.3571 0.7142 0.9827  4 Au 2.85-2.99
23 Ba 0.9709 0.9418 0.2690  6 Au 3.39-3.51, 5 In 3.54-3.72
24 Ba 0.1843 0.3686 0.9453  6 Au 3.34-3.51
25 Ba 0.8324 0.6648 0.8066  6 Au 3.35-3.47
26 Ba 0.1676 0.3352 0.3066  6 Au 3.35-3.47
27 Ba 0.8157 0.6314 0.4453  6 Au 3.34-3.51
28 Ba 0.9913 0.9827 0.0106  7 Au 3.49-3.75, 5 In 3.72-3.90
29 Ba 0.0087 0.0173 0.5106  7 Au 3.49-3.75, 5 In 3.72-3.90
30 Ba 0.0291 0.0582 0.7690  6 Au 3.39-3.51, 5 In 3.54-3.72


PmPt6 | GGA-PBE | optimized geometry

Properties
Polymorph energy (0 for the lowest one) (kcal/mol of atoms): 0.00
ΔE_f (eV per atom): -0.51
Space-group type: Pnma (62)
Total DFT energy (no corrections) (eV per atom): -6.37

Unit cell a=5.3282 b=9.2602 c=10.2495 alpha=90.00 beta=90.00 gamma=90.00
With the nearest neighbours (Å) after each atom.
Fractional coordinates of all 28 atoms:
1 Pt 0.5047 0.5472 0.7774  9 Pt 2.61-2.87
2 Pt 0.7500 0.9719 0.0492  6 Pt 2.65-2.90, 1 Pm 2.89
3 Pt 0.2500 0.1956 0.1599  8 Pt 2.65-2.87
4 Pt 0.0047 0.9528 0.2774  9 Pt 2.61-2.87
5 Pt 0.7500 0.5847 0.0135  6 Pt 2.70-2.81
6 Pt 0.7500 0.0847 0.4865  6 Pt 2.70-2.81
7 Pt 0.4953 0.9528 0.2774  9 Pt 2.61-2.87
8 Pt 0.7500 0.1998 0.2352  8 Pt 2.69-2.84, 1 Pm 3.01
9 Pt 0.2500 0.3002 0.7352  8 Pt 2.69-2.84, 1 Pm 3.01
10 Pt 0.4953 0.4528 0.2226  9 Pt 2.61-2.87
11 Pt 0.2500 0.0281 0.9508  6 Pt 2.65-2.90, 1 Pm 2.89
12 Pt 0.7500 0.4719 0.4508  6 Pt 2.65-2.90, 1 Pm 2.89
13 Pt 0.7500 0.8044 0.8401  8 Pt 2.65-2.87
14 Pt 0.2500 0.6956 0.3401  8 Pt 2.65-2.87
15 Pt 0.9953 0.5472 0.7774  9 Pt 2.61-2.87
16 Pt 0.9953 0.0472 0.7226  9 Pt 2.61-2.87
17 Pt 0.2500 0.9153 0.5135  6 Pt 2.70-2.81
18 Pt 0.5047 0.0472 0.7226  9 Pt 2.61-2.87
19 Pt 0.2500 0.5281 0.5492  6 Pt 2.65-2.90, 1 Pm 2.89
20 Pt 0.7500 0.3044 0.6599  8 Pt 2.65-2.87
21 Pt 0.2500 0.4153 0.9865  6 Pt 2.70-2.81
22 Pt 0.7500 0.6998 0.2648  8 Pt 2.69-2.84, 1 Pm 3.01
23 Pt 0.2500 0.8002 0.7648  8 Pt 2.69-2.84, 1 Pm 3.01
24 Pt 0.0047 0.4528 0.2226  9 Pt 2.61-2.87
25 Pm 0.2500 0.7375 0.0530  6 Pt 2.89-3.06
26 Pm 0.2500 0.2375 0.4470  6 Pt 2.89-3.06
27 Pm 0.7500 0.2625 0.9470  6 Pt 2.89-3.06
28 Pm 0.7500 0.7625 0.5530  6 Pt 2.89-3.06


ZrCo3Sb | GGA-PBE | optimized geometry

Properties
Polymorph energy (0 for the lowest one) (kcal/mol of atoms): 0.00
Space-group type: Pm-3m (221)
Total DFT energy (no corrections) (eV per atom): -5.96

Unit cell a=4.5457 b=4.5457 c=4.5457 alpha=90.00 beta=90.00 gamma=90.00
With the nearest neighbours (Å) after each atom.
Fractional coordinates of all 5 atoms:
1 Zr 0.5000 0.5000 0.5000  12 Co 3.21
2 Sb 0.0000 0.0000 0.0000  6 Co 2.27
3 Co 0.0000 0.0000 0.5000  2 Sb 2.27
4 Co 0.0000 0.5000 0.0000  2 Sb 2.27
5 Co 0.5000 0.0000 0.0000  2 Sb 2.27


IO2 | GGA-PBE | optimized geometry

Properties
Polymorph energy (0 for the lowest one) (kcal/mol of atoms): 0.00
Space-group type: P2_1/c (14)
Total DFT energy (no corrections) (eV per atom): -4.04

Unit cell a=7.0533 b=8.1589 c=8.3305 alpha=63.12 beta=90.00 gamma=90.00
With the nearest neighbours (Å) after each atom.
Fractional coordinates of all 24 atoms:
1 O 0.2559 0.9491 0.5092  1 I 1.85
2 O 0.0379 0.3034 0.7837  2 I 1.94-2.17
3 O 0.9621 0.6966 0.2163  2 I 1.94-2.17
4 O 0.5379 0.6966 0.7163  2 I 1.94-2.17
5 O 0.5405 0.6993 0.0595  2 I 1.95-2.12
6 O 0.6535 0.3081 0.6497  1 I 1.81
7 O 0.1535 0.6919 0.8503  1 I 1.81
8 O 0.7441 0.0509 0.4908  1 I 1.85
9 O 0.3465 0.6919 0.3503  1 I 1.81
10 O 0.8465 0.3081 0.1497  1 I 1.81
11 O 0.4595 0.3007 0.9405  2 I 1.95-2.12
12 O 0.0405 0.3007 0.4405  2 I 1.95-2.12
13 O 0.7559 0.0509 0.9908  1 I 1.85
14 O 0.9595 0.6993 0.5595  2 I 1.95-2.12
15 O 0.2441 0.9491 0.0092  1 I 1.85
16 O 0.4621 0.3034 0.2837  2 I 1.94-2.17
17 I 0.7572 0.3031 0.3562  2 O 1.81-1.85
18 I 0.1190 0.1399 0.6863  2 O 1.94-1.95
19 I 0.2572 0.6969 0.1438  2 O 1.81-1.85
20 I 0.3810 0.1399 0.1863  2 O 1.94-1.95
21 I 0.2428 0.6969 0.6438  2 O 1.81-1.85
22 I 0.7428 0.3031 0.8562  2 O 1.81-1.85
23 I 0.6190 0.8601 0.8137  2 O 1.94-1.95
24 I 0.8810 0.8601 0.3137  2 O 1.94-1.95